Here is an optimized crystal structure of YBeIr from OQMD. Energies are from PBE.

Calculated values
As for the crystal system: cubic. The energy relative to the lowest polymorph listed for this composition comes out at 0 meV/atom. The value obtained for the total DFT energy (no corrections) is -77.9 eV for the cell shown.

Cell: 6.2468 6.2468 6.2468 Å, 90.00 90.00 90.00°
Space group F-43m (No. 216)
Asymmetric unit:
1 Y 0.0000 0.0000 0.0000
2 Be 0.0000 0.0000 0.5000
3 Ir 0.2500 0.2500 0.7500

Here is an optimized crystal structure of CdSnSeO from OQMD. Energies are from PBE.

Calculated values
As for the crystal system: orthorhombic. The energy relative to the lowest polymorph listed for this composition comes out at 81 meV/atom. The value obtained for the total DFT energy (no corrections) is -65.0 eV for the cell shown.

Cell: 6.3555 3.8203 14.7787 Å, 90.00 90.00 90.00°
Space group Pnma (No. 62)
Asymmetric unit:
1 Cd 0.2050 0.2500 0.0368
2 Sn 0.1611 0.2500 0.8067
3 Se 0.1010 0.2500 0.3944
4 O 0.0452 0.7500 0.0833

Here is an optimized crystal structure of NbAgCl3 from OQMD. Energies are from PBE.

Calculated values
As for the crystal system: trigonal. The energy relative to the lowest polymorph listed for this composition comes out at 81 meV/atom. The value obtained for the total DFT energy (no corrections) is -125.7 eV for the cell shown.

Cell: 7.0548 7.0548 14.4426 Å, 90.00 90.00 120.00°
Space group R-3c (No. 167, hexagonal axes)
Asymmetric unit:
1 Nb 0.0000 0.0000 0.0000
2 Ag 0.0000 0.0000 0.2500
3 Cl 0.0000 0.3798 0.2500